Entry 1:
Hf2Al5Pd2Rh (PBE-GGA, relaxed); D(E_F) = 0.285 states/eV per atom
1.0
3.4026 0.0000 0.0000
0.0000 9.8770 0.0000
0.0000 0.0000 9.8770
Al Pd Rh Hf
10 4 2 4
Cartesian
1.7013 6.8566 4.4754 Al
1.7013 0.0000 4.9385 Al
1.7013 5.4016 6.8566 Al
1.7013 4.4754 3.0204 Al
1.7013 7.9589 9.4139 Al
1.7013 9.4139 1.9181 Al
1.7013 1.9181 0.4631 Al
1.7013 3.0204 5.4016 Al
1.7013 4.9385 0.0000 Al
1.7013 0.4631 7.9589 Al
0.0000 3.7206 1.2179 Pd
0.0000 1.2179 6.1564 Pd
0.0000 8.6591 3.7206 Pd
0.0000 6.1564 8.6591 Pd
0.0000 4.9385 4.9385 Rh
0.0000 0.0000 0.0000 Rh
0.0000 1.8064 3.1321 Hf
0.0000 3.1321 8.0706 Hf
0.0000 8.0706 6.7449 Hf
0.0000 6.7449 1.8064 Hf

***

Entry 2:
Sm2HfAl2Pd5 (PBE-GGA, relaxed); D(E_F) = 0.398 states/eV per atom
1.0
-2.6910 -2.1655 1.0941
1.4485 -5.9498 -8.2133
6.7055 -5.6626 5.2846
Sm Hf Pd Al
4 2 10 4
Cartesian
2.4240 -2.8820 0.2576 Sm
2.1648 -5.0264 -4.6241 Sm
5.9892 -6.5859 1.6953 Sm
5.7300 -8.7303 -3.1864 Sm
0.0000 0.0000 0.0000 Hf
4.0770 -5.8062 -1.4644 Hf
4.1887 -8.3912 -0.3067 Pd
2.6428 -7.7824 -2.9039 Pd
2.0073 -3.9141 3.1894 Pd
-0.6632 -2.6273 -0.8319 Pd
1.2744 -5.3867 -1.5279 Pd
1.3936 -7.8506 -6.1113 Pd
2.8202 -5.9954 1.0693 Pd
6.1263 -11.1505 -1.0027 Pd
-0.6213 -4.0576 -3.5596 Pd
4.0695 -5.9272 4.2767 Pd
3.8085 -7.3673 -5.2145 Al
1.3642 -2.9399 -2.4634 Al
4.3455 -4.2450 2.2857 Al
6.7898 -8.6724 -0.4654 Al

***

Entry 3:
Tb2HfAl2Pd5 (PBE-GGA, relaxed); D(E_F) = 0.389 states/eV per atom
1.0
-0.5687 1.9223 -3.0181
-9.9958 -1.3725 1.0095
-0.6077 8.4849 5.5187
Tb Al Pd Hf
4 4 10 2
Cartesian
-3.7415 6.5483 4.8758 Tb
-1.9542 2.5096 1.9667 Tb
-8.6492 4.6028 4.5615 Tb
-6.8619 0.5641 1.6524 Tb
-9.0020 1.9996 2.9699 Al
-6.7545 6.5923 5.4716 Al
-3.8490 0.5201 1.0566 Al
-1.6014 5.1128 3.5582 Al
-6.2935 6.1817 2.9484 Pd
-0.5882 5.2036 1.2503 Pd
-3.5665 5.2939 1.8691 Pd
-2.3748 1.1734 -0.9799 Pd
-1.3496 7.6217 2.9339 Pd
-9.8226 1.4130 0.5762 Pd
-5.2823 0.2749 -1.0043 Pd
-7.6057 3.7407 1.6410 Pd
-4.8787 2.8530 0.5617 Pd
-8.7975 7.8613 4.4900 Pd
-5.3017 3.5562 3.2641 Hf
0.0000 0.0000 0.0000 Hf

***

The calculation returns the following electronic total energy values, one per record and in order: -6.274; -6.077; -6.089 eV/atom.
The calculation returns the following E_form values, one per record and in order: -0.639; -0.793; -0.823 eV/atom.